First-principles (PBEsol) data for a geometry-optimized Al11Co6Si6 structure, as listed in Alexandria.

Summary:
calculated density	4.44	g/cm³
formation energy without anion corrections	-10.96	eV/f.u.
size of the total moment	0.00	μB/cell
DOS(E_F)	0.199	states/eV/atom

abc: 8.016 21.128 8.263
angles: 90.00 118.90 90.00
Space group P2_1/c (No. 14)
Inequivalent atoms, fractional coordinates:
Al: 0.024 0.203 0.313
Al: 0.091 0.668 0.895
Al: 0.099 0.533 0.944
Al: 0.155 0.717 0.572
Al: 0.215 0.566 0.692
Al: 0.241 0.616 0.237
Al: 0.266 0.120 0.286
Al: 0.272 0.061 0.804
Al: 0.342 0.230 0.941
Al: 0.409 0.037 0.564
Al: 0.462 0.703 0.191
Co: 0.102 0.088 0.464
Co: 0.127 0.041 0.002
Co: 0.187 0.226 0.129
Co: 0.312 0.730 0.383
Co: 0.380 0.543 0.509
Co: 0.389 0.589 0.037
Si: 0.035 0.546 0.325
Si: 0.102 0.143 0.937
Si: 0.275 0.171 0.641
Si: 0.415 0.670 0.871
Si: 0.421 0.645 0.577
Si: 0.461 0.046 0.175